! CaAl2Ag2 | Alexandria | PBE-GGA | relaxed; values from VASP
&SYSTEM
  ibrav = 0, nat = 5, ntyp = 3
/
ATOMIC_SPECIES
Ca 40.08 Ca.upf
Al 26.98 Al.upf
Ag 107.87 Ag.upf
CELL_PARAMETERS angstrom
-1.004 3.940 -1.135
-3.525 -0.232 2.311
0.685 3.962 5.299
ATOMIC_POSITIONS crystal
Ca 0.000 0.000 0.000
Al 0.750 0.250 0.500
Al 0.250 0.750 0.500
Ag 0.384 0.384 0.232
Ag 0.616 0.616 0.768
! size of the total moment = 0.0000 μB/atom
! energy relative to the elements = -0.2332 eV/atom
! total DFT energy (no corrections) = -3.27 eV per atom